First-principles (PBE with a Hubbard U) data for TcWN2O after structural relaxation, as listed in Alexandria via LeMat-Bulk.

DFT total energy: -7.30 eV/atom
V: 60 Å³/cell
total moment: 3.5 μB/cell
ρ: 9.07 g cm⁻³

Cell lengths 3.987, 3.987, 3.755 Å; angles 90.00, 90.00, 90.00 degrees
Sites, in units of the cell vectors:
W 0.500 0.500 0.500
O 0.000 0.000 0.500
N 0.500 0.000 0.000
N 0.000 0.500 0.000
Tc 0.000 0.000 0.000